# TaNbHRh2

TaNbHRh2 after structural relaxation (PBE, Alexandria via LeMat-Bulk).

abc: 3.9953 3.9953 4.1250
angles: 90.00 90.00 90.00
With the nearest neighbours (Å) after each atom.
Fractional coordinates of all 5 atoms:
1 Ta 0.0000 0.0000 0.0000  2 H 2.06
2 Nb 0.5000 0.5000 0.0000  4 Ta 2.83, 8 Rh 2.87
3 H 0.0000 0.0000 0.5000  4 Rh 2.00, 2 Ta 2.06
4 Rh 0.0000 0.5000 0.5000  2 H 2.00
5 Rh 0.5000 0.0000 0.5000  2 H 2.00

Values from the calculation:
DOS at the Fermi energy: 0.577 states/eV per atom
Relative energy among the computed polymorphs: 18.1 meV/atom
SG: P4/mmm, No. 123